Record 1
# TcTeSe2, optimized geometry, DFT PBE-GGA
# D(E_F): 4.400 states/eV/cell
data_TcTeSe2
_cell_length_a 4.528
_cell_length_b 4.528
_cell_length_c 7.472
_cell_angle_alpha 90.00
_cell_angle_beta 90.00
_cell_angle_gamma 90.00
_symmetry_space_group_name_H-M 'I -4 m 2'
_symmetry_Int_Tables_number 119
_symmetry_space_group_name_Hall 'I -4 -2'
loop_
_atom_site_label
_atom_site_fract_x
_atom_site_fract_y
_atom_site_fract_z
Tc1 0.000 0.000 0.000
Te1 0.000 0.500 0.750
Se1 0.000 0.000 0.500
Se2 0.000 0.500 0.250

=====

Record 2
# InSn2Pt2, optimized geometry, DFT PBE-GGA
# D(E_F): 4.646 states/eV/cell
# ΔE to the lowest computed polymorph: 0.076 eV/atom
# E_form: -1.0 eV per formula unit
data_InSn2Pt2
_cell_length_a 4.529
_cell_length_b 4.529
_cell_length_c 11.423
_cell_angle_alpha 90.00
_cell_angle_beta 90.00
_cell_angle_gamma 90.00
_symmetry_space_group_name_H-M 'I 4/m m m'
_symmetry_Int_Tables_number 139
_symmetry_space_group_name_Hall '-I 4 2'
loop_
_atom_site_label
_atom_site_fract_x
_atom_site_fract_y
_atom_site_fract_z
In1 0.000 0.000 0.000
Sn1 0.000 0.500 0.250
Pt1 0.000 0.000 0.382

=====

Record 3
# TbNd3Ho7, optimized geometry, DFT PBE-GGA
# D(E_F): 16.610 states/eV/cell
# ΔE to the lowest computed polymorph: 0.000 eV/atom
# E_form: 1.6 eV per formula unit
data_TbNd3Ho7
_cell_length_a 6.957
_cell_length_b 5.525
_cell_length_c 10.011
_cell_angle_alpha 90.00
_cell_angle_beta 109.64
_cell_angle_gamma 90.00
_symmetry_space_group_name_H-M 'P 1 2/m 1'
_symmetry_Int_Tables_number 10
_symmetry_space_group_name_Hall '-P 2y'
loop_
_atom_site_label
_atom_site_fract_x
_atom_site_fract_y
_atom_site_fract_z
Tb1 0.000 0.000 0.000
Nd1 0.219 0.500 0.503
Nd2 0.500 0.000 0.000
Ho1 0.079 0.000 0.671
Ho2 0.179 0.500 0.863
Ho3 0.353 0.500 0.211
Ho4 0.500 0.000 0.500

=====

Record 4
# OsS2F, optimized geometry, DFT PBE-GGA
# D(E_F): 5.922 states/eV/cell
# ΔE to the lowest computed polymorph: 0.000 eV/atom
data_OsS2F
_cell_length_a 3.6178
_cell_length_b 3.6178
_cell_length_c 18.7468
_cell_angle_alpha 90.00
_cell_angle_beta 90.00
_cell_angle_gamma 120.00
_symmetry_space_group_name_H-M 'R -3 m'
_symmetry_Int_Tables_number 166
_symmetry_space_group_name_Hall '-R 3 2"'
loop_
_atom_site_label
_atom_site_fract_x
_atom_site_fract_y
_atom_site_fract_z
Os1 0.0000 0.0000 0.0000
S1 0.0000 0.0000 0.3908
F1 0.0000 0.0000 0.5000

=====

Record 5
# DyYMgHg, optimized geometry, DFT PBE-GGA
# D(E_F): 17.687 states/eV/cell
# ΔE to the lowest computed polymorph: 0.017 eV/atom
# E_form: -1.1 eV per formula unit
data_DyYMgHg
_cell_length_a 7.496
_cell_length_b 7.496
_cell_length_c 7.496
_cell_angle_alpha 90.00
_cell_angle_beta 90.00
_cell_angle_gamma 90.00
_symmetry_space_group_name_H-M 'F -4 3 m'
_symmetry_Int_Tables_number 216
_symmetry_space_group_name_Hall 'F -4 2 3'
loop_
_atom_site_label
_atom_site_fract_x
_atom_site_fract_y
_atom_site_fract_z
Dy1 0.000 0.000 0.000
Y1 0.000 0.000 0.500
Mg1 0.250 0.250 0.750
Hg1 0.250 0.250 0.250

=====

Record 6
Here is a relaxed structure of K2PmCrS4 from Alexandria via LeMat-Bulk. Energies are from PBE-GGA.

Structure (CIF):
```
data_K2PmCrS4
_cell_length_a 6.746
_cell_length_b 3.937
_cell_length_c 7.679
_cell_angle_alpha 90.00
_cell_angle_beta 107.44
_cell_angle_gamma 90.00
_symmetry_space_group_name_H-M 'P 1 2/m 1'
_symmetry_Int_Tables_number 10
_symmetry_space_group_name_Hall '-P 2y'
loop_
_atom_site_label
_atom_site_fract_x
_atom_site_fract_y
_atom_site_fract_z
K1 0.000 0.000 0.000
K2 0.500 0.500 0.000
Pm1 0.000 0.500 0.500
Cr1 0.500 0.000 0.500
S1 0.264 0.000 0.700
S2 0.301 0.500 0.316
```

=====

Record 7
# La2CuW, optimized geometry, DFT PBE-GGA
# D(E_F): 25.107 states/eV/cell
# ΔE to the lowest computed polymorph: 0.094 eV/atom
# E_form: 1.8 eV per formula unit
data_La2CuW
_cell_length_a 7.250
_cell_length_b 7.250
_cell_length_c 7.250
_cell_angle_alpha 90.00
_cell_angle_beta 90.00
_cell_angle_gamma 90.00
_symmetry_space_group_name_H-M 'F m -3 m'
_symmetry_Int_Tables_number 225
_symmetry_space_group_name_Hall '-F 4 2 3'
loop_
_atom_site_label
_atom_site_fract_x
_atom_site_fract_y
_atom_site_fract_z
La1 0.250 0.250 0.250
Cu1 0.000 0.000 0.000
W1 0.000 0.000 0.500

=====

Record 8
# La8Si2Ge, optimized geometry, DFT PBE-GGA
# D(E_F): 20.774 states/eV/cell
data_La8Si2Ge
_cell_length_a 8.934
_cell_length_b 14.188
_cell_length_c 5.892
_cell_angle_alpha 90.00
_cell_angle_beta 116.13
_cell_angle_gamma 90.00
_symmetry_space_group_name_H-M 'C 1 m 1'
_symmetry_Int_Tables_number 8
_symmetry_space_group_name_Hall 'C -2y'
loop_
_atom_site_label
_atom_site_fract_x
_atom_site_fract_y
_atom_site_fract_z
La1 0.000 0.000 0.000
La2 0.019 0.388 0.676
La3 0.143 0.125 0.622
La4 0.257 0.500 0.341
La5 0.431 0.233 0.183
Si1 0.321 0.306 0.612
Ge1 0.382 0.000 0.081

=====

Record 9
# Pu2TcTe, optimized geometry, DFT PBE-GGA
# D(E_F): 12.456 states/eV/cell
data_Pu2TcTe
_cell_length_a 3.442
_cell_length_b 3.442
_cell_length_c 7.753
_cell_angle_alpha 90.00
_cell_angle_beta 90.00
_cell_angle_gamma 90.00
_symmetry_space_group_name_H-M 'P 4/m m m'
_symmetry_Int_Tables_number 123
_symmetry_space_group_name_Hall '-P 4 2'
loop_
_atom_site_label
_atom_site_fract_x
_atom_site_fract_y
_atom_site_fract_z
Pu1 0.000 0.000 0.220
Tc1 0.500 0.500 0.000
Te1 0.500 0.500 0.500

=====

Record 10
# ErZn2Ru, optimized geometry, DFT PBE-GGA
# D(E_F): 1.999 states/eV/cell
# E_form: -0.8 eV per formula unit
data_ErZn2Ru
_cell_length_a 3.430
_cell_length_b 3.430
_cell_length_c 5.866
_cell_angle_alpha 90.00
_cell_angle_beta 90.00
_cell_angle_gamma 90.00
_symmetry_space_group_name_H-M 'P 4/m m m'
_symmetry_Int_Tables_number 123
_symmetry_space_group_name_Hall '-P 4 2'
loop_
_atom_site_label
_atom_site_fract_x
_atom_site_fract_y
_atom_site_fract_z
Er1 0.000 0.000 0.000
Zn1 0.500 0.500 0.291
Ru1 0.000 0.000 0.500

=====

Record 11
# Ba6PtAu2N, optimized geometry, DFT PBE-GGA
# D(E_F): 14.923 states/eV/cell
data_Ba6PtAu2N
_cell_length_a 7.719
_cell_length_b 8.423
_cell_length_c 13.686
_cell_angle_alpha 90.00
_cell_angle_beta 124.25
_cell_angle_gamma 90.00
_symmetry_space_group_name_H-M 'P 1 21/c 1'
_symmetry_Int_Tables_number 14
_symmetry_space_group_name_Hall '-P 2ybc'
loop_
_atom_site_label
_atom_site_fract_x
_atom_site_fract_y
_atom_site_fract_z
Ba1 0.117 0.032 0.234
Ba2 0.229 0.703 0.059
Ba3 0.354 0.175 0.056
Pt1 0.500 0.000 0.500
Au1 0.291 0.094 0.750
N1 0.000 0.000 0.000

=====

Record 12
# PrLuHg2, optimized geometry, DFT PBE-GGA
# D(E_F): 3.146 states/eV/cell
# ΔE to the lowest computed polymorph: 0.000 eV/atom
# E_form: -1.9 eV per formula unit
data_PrLuHg2
_cell_length_a 3.694
_cell_length_b 3.694
_cell_length_c 7.759
_cell_angle_alpha 90.00
_cell_angle_beta 90.00
_cell_angle_gamma 90.00
_symmetry_space_group_name_H-M 'P 4/m m m'
_symmetry_Int_Tables_number 123
_symmetry_space_group_name_Hall '-P 4 2'
loop_
_atom_site_label
_atom_site_fract_x
_atom_site_fract_y
_atom_site_fract_z
Pr1 0.000 0.000 0.000
Lu1 0.000 0.000 0.500
Hg1 0.500 0.500 0.277

=====

Record 13
# AcTbY2, optimized geometry, DFT PBE-GGA
# D(E_F): 27.064 states/eV/cell
# ΔE to the lowest computed polymorph: 0.071 eV/atom
# E_form: 0.5 eV per formula unit
data_AcTbY2
_cell_length_a 8.274
_cell_length_b 8.274
_cell_length_c 8.274
_cell_angle_alpha 90.00
_cell_angle_beta 90.00
_cell_angle_gamma 90.00
_symmetry_space_group_name_H-M 'F m -3 m'
_symmetry_Int_Tables_number 225
_symmetry_space_group_name_Hall '-F 4 2 3'
loop_
_atom_site_label
_atom_site_fract_x
_atom_site_fract_y
_atom_site_fract_z
Ac1 0.000 0.000 0.000
Tb1 0.000 0.000 0.500
Y1 0.250 0.250 0.250

=====

Record 14
# NbTeRu, optimized geometry, DFT PBE-GGA
# D(E_F): 12.008 states/eV/cell
# ΔE to the lowest computed polymorph: 0.130 eV/atom
data_NbTeRu
_cell_length_a 6.218
_cell_length_b 6.218
_cell_length_c 6.218
_cell_angle_alpha 90.00
_cell_angle_beta 90.00
_cell_angle_gamma 90.00
_symmetry_space_group_name_H-M 'F -4 3 m'
_symmetry_Int_Tables_number 216
_symmetry_space_group_name_Hall 'F -4 2 3'
loop_
_atom_site_label
_atom_site_fract_x
_atom_site_fract_y
_atom_site_fract_z
Nb1 0.000 0.000 0.000
Te1 0.000 0.000 0.500
Ru1 0.250 0.250 0.250

=====

Record 15
# Mg3HgIr2, optimized geometry, DFT PBE-GGA
# D(E_F): 0.407 states/eV/cell
# E_form: -1.7 eV per formula unit
data_Mg3HgIr2
_cell_length_a 3.266
_cell_length_b 3.266
_cell_length_c 9.419
_cell_angle_alpha 90.00
_cell_angle_beta 90.00
_cell_angle_gamma 90.00
_symmetry_space_group_name_H-M 'P 4/m m m'
_symmetry_Int_Tables_number 123
_symmetry_space_group_name_Hall '-P 4 2'
loop_
_atom_site_label
_atom_site_fract_x
_atom_site_fract_y
_atom_site_fract_z
Mg1 0.000 0.000 0.000
Mg2 0.000 0.000 0.304
Hg1 0.500 0.500 0.500
Ir1 0.500 0.500 0.159

=====

Record 16
# Hf2FeW, optimized geometry, DFT PBE-GGA
# D(E_F): 4.400 states/eV/cell
# ΔE to the lowest computed polymorph: 0.000 eV/atom
# E_form: -0.2 eV per formula unit
data_Hf2FeW
_cell_length_a 3.213
_cell_length_b 3.213
_cell_length_c 6.616
_cell_angle_alpha 90.00
_cell_angle_beta 90.00
_cell_angle_gamma 90.00
_symmetry_space_group_name_H-M 'P 4/m m m'
_symmetry_Int_Tables_number 123
_symmetry_space_group_name_Hall '-P 4 2'
loop_
_atom_site_label
_atom_site_fract_x
_atom_site_fract_y
_atom_site_fract_z
Hf1 0.000 0.000 0.236
Fe1 0.500 0.500 0.000
W1 0.500 0.500 0.500

=====

Record 17
# YZrAl2, optimized geometry, DFT PBE-GGA
# D(E_F): 8.197 states/eV/cell
# ΔE to the lowest computed polymorph: 0.420 eV/atom
# E_form: 0.1 eV per formula unit
data_YZrAl2
_cell_length_a 3.2065
_cell_length_b 3.2065
_cell_length_c 30.0176
_cell_angle_alpha 90.00
_cell_angle_beta 90.00
_cell_angle_gamma 120.00
_symmetry_space_group_name_H-M 'R 3 m'
_symmetry_Int_Tables_number 160
_symmetry_space_group_name_Hall 'R 3 -2"'
loop_
_atom_site_label
_atom_site_fract_x
_atom_site_fract_y
_atom_site_fract_z
Y1 0.0000 0.0000 0.0000
Zr1 0.0000 0.0000 0.2418
Al1 0.0000 0.0000 0.4950
Al2 0.0000 0.0000 0.7554

=====

| no. | energy (eV/f.u.) |
| --- | --- |
| 1 | -18.123 |
| 2 | -23.827 |
| 3 | -49.347 |
| 4 | -22.715 |
| 5 | -14.074 |
| 6 | -43.551 |
| 7 | -25.101 |
| 8 | -58.945 |
| 9 | -43.345 |
| 10 | -17.166 |
| 11 | -37.960 |
| 12 | -11.796 |
| 13 | -21.209 |
| 14 | -22.902 |
| 15 | -24.537 |
| 16 | -41.563 |
| 17 | -22.381 |